# 1
DFT (SCAN) results for a crystal of CdCu2Br relaxed with PBEsol.

Cell: 4.657 4.657 4.657 Å, 60.00 60.00 60.00°
Element x y z (fractional)
Cu (0.750, 0.750, 0.750)
Cu (0.000, 0.000, 0.000)
Cd (0.250, 0.250, 0.250)
Br (0.500, 0.500, 0.500)

Summary:
formation energy (no corrections)	0.669	eV per atom
energy	-19.3988	eV/atom
ρ	7426	kg/m³

---

# 2
DFT (SCAN) results for a crystal of BaPBr2 relaxed with PBEsol.

Cell: 5.747 5.747 5.102 Å, 55.72 55.72 60.00°
Last column: magnetic moment on the atom in μB.
Element x y z (fractional)
Br (0.283, 0.283, 0.150)  0.05
Br (0.717, 0.717, 0.850)  0.05
P (0.500, 0.500, 0.500)  0.36
Ba (0.000, 0.000, 0.000)  0.00

Summary:
formation energy (no corrections)	-1.022	eV per atom
energy	-23.2391	eV/atom
ρ	4914	kg/m³

---

# 3
DFT (SCAN) results for a crystal of ScCu relaxed with PBEsol.

Cell: 3.210 3.210 3.210 Å, 90.00 90.00 90.00°
Element x y z (fractional)
Sc (0.500, 0.500, 0.500)
Cu (0.000, 0.000, 0.000)

Summary:
energy	-15.0694	eV/atom
ρ	5449	kg/m³
formation enthalpy at 0 K	-0.3512	eV/atom

---

# 4
DFT (SCAN) results for a crystal of CaMg7 relaxed with PBEsol.

Cell: 6.545 6.545 6.545 Å, 60.00 60.00 60.00°
Element x y z (fractional)
Mg (0.000, 0.500, 0.500)
Mg (0.500, 0.500, 0.000)
Mg (0.000, 0.000, 0.500)
Mg (0.000, 0.500, 0.000)
Mg (0.500, 0.000, 0.000)
Mg (0.500, 0.500, 0.500)
Mg (0.500, 0.000, 0.500)
Ca (0.000, 0.000, 0.000)

Summary:
energy	-5.5155	eV/atom
ρ	1761	kg/m³
formation enthalpy at 0 K	0.0444	eV/atom

---

# 5
DFT (SCAN) results for a crystal of CrNi2Cl relaxed with PBEsol.

Cell: 2.691 2.691 7.737 Å, 79.99 79.99 60.00°
Last column: magnetic moment on the atom in μB.
Element x y z (fractional)
Cr (0.247, 0.247, 0.258)  2.18
Ni (0.748, 0.748, 0.755)  0.83
Ni (0.998, 0.998, 0.007)  0.86
Cl (0.507, 0.507, 0.480)  0.02

Summary:
formation energy (no corrections)	0.366	eV per atom
energy	-14.3108	eV/atom
ρ	7156	kg/m³

---

# 6
DFT (SCAN) results for a crystal of CuTc2Cl relaxed with PBEsol.

Cell: 4.182 4.182 4.185 Å, 119.97 119.97 90.00°
Element x y z (fractional)
Cu (0.000, 0.000, 0.000)
Cl (0.500, 0.500, 0.000)
Tc (0.250, 0.750, 0.500)
Tc (0.750, 0.250, 0.500)

Summary:
formation energy (no corrections)	0.965	eV per atom
energy	-22.3592	eV/atom
ρ	9459	kg/m³

---

# 7
DFT (SCAN) results for a crystal of Zr2FeNi relaxed with PBEsol.

Cell: 4.448 4.448 4.448 Å, 60.00 60.00 60.00°
Element x y z (fractional)
Zr (0.250, 0.250, 0.250)
Zr (0.750, 0.750, 0.750)
Fe (0.500, 0.500, 0.500)
Ni (0.000, 0.000, 0.000)

Summary:
energy	-24.1553	eV/atom
ρ	7925	kg/m³
formation enthalpy at 0 K	-0.2302	eV/atom

---

# 8
DFT (SCAN) results for a crystal of Nb relaxed with PBEsol.

Cell: 2.836 2.836 2.836 Å, 109.47 109.47 109.47°
Element x y z (fractional)
Nb (0.000, 0.000, 0.000)

Summary:
energy	-33.1297	eV/atom
ρ	8787	kg/m³
formation enthalpy at 0 K	0.0000	eV/atom

---

# 9
DFT (SCAN) results for a crystal of CsCa3Cl relaxed with PBEsol.

Cell: 7.569 7.569 7.569 Å, 90.00 90.00 90.00°
Element x y z (fractional)
Ca (0.500, 0.000, 0.000)
Ca (0.000, 0.500, 0.000)
Ca (0.000, 0.000, 0.500)
Cl (0.500, 0.500, 0.500)
Cs (0.000, 0.000, 0.000)

Summary:
formation energy (no corrections)	0.820	eV per atom
energy	-14.1359	eV/atom
ρ	1105	kg/m³

---

# 10
DFT (SCAN) results for a crystal of NbSiGe relaxed with PBEsol.

Cell: 4.857 4.857 6.681 Å, 90.00 90.00 120.00°
Element x y z (fractional)
Ge (0.162, 0.324, 0.833)
Ge (0.162, 0.838, 0.167)
Ge (0.676, 0.838, 0.500)
Si (0.839, 0.161, 0.167)
Si (0.323, 0.161, 0.500)
Si (0.839, 0.677, 0.833)
Nb (0.502, 0.498, 0.167)
Nb (0.502, 0.004, 0.833)
Nb (0.996, 0.498, 0.500)

Summary:
formation energy (no corrections)	-0.433	eV per atom
energy	-21.1775	eV/atom
ρ	7065	kg/m³

---

# 11
DFT (SCAN) results for a crystal of SrLi relaxed with PBEsol.

Cell: 4.540 5.103 6.855 Å, 90.00 109.34 90.00°
Element x y z (fractional)
Li (0.434, 0.750, 0.869)
Li (0.566, 0.250, 0.131)
Sr (0.852, 0.250, 0.705)
Sr (0.148, 0.750, 0.295)

Summary:
energy	-12.3145	eV/atom
ρ	2096	kg/m³
formation enthalpy at 0 K	0.0180	eV/atom

---

# 12
DFT (SCAN) results for a crystal of ScCdRe relaxed with PBEsol.

Cell: 2.823 2.823 7.148 Å, 98.12 98.12 106.52°
Element x y z (fractional)
Sc (0.323, 0.323, 0.645)
Cd (0.005, 0.005, 0.011)
Re (0.672, 0.672, 0.344)

Summary:
energy	-38.4203	eV/atom
ρ	10752	kg/m³
formation enthalpy at 0 K	0.1627	eV/atom